CrCuN2O: optimized geometry, PBE with a Hubbard U.

Values from the calculation:
The total magnetization comes out at 0.00 μB per formula unit. The electronic total energy is -28.996 eV/cell.

Cell lengths 3.719, 3.719, 3.686 Å; angles 90.00, 90.00, 90.00 degrees
Space group P4/mmm (No. 123)
One atom of each set of equivalent atoms:
Cr1 0.000 0.000 0.000 (multiplicity 1)
Cu1 0.500 0.500 0.500 (multiplicity 1)
N1 0.000 0.500 0.000 (multiplicity 2)
O1 0.000 0.000 0.500 (multiplicity 1)